Version A
MgSc3Hg | PBE | relaxed

Results
Fermi-level density of states	5.8	states/eV/f.u.

```
MgSc3Hg
1.0
4.4480 0.0000 1.0165
0.0000 4.5588 0.0000
-0.1964 0.0000 11.0997
Mg Sc Hg
2 6 2
direct
0.4755 0.7500 0.6974
0.1729 0.2500 0.3026
0.7688 0.2500 0.1107
0.3754 0.2500 0.8976
0.5736 0.2500 0.5012
0.2730 0.7500 0.1024
0.8795 0.7500 0.8893
0.0748 0.7500 0.4988
0.6699 0.7500 0.3085
0.9784 0.2500 0.6915
```

---

Version B
MgSc3Hg | PBE | relaxed

Results
Fermi-level density of states	10.5	states/eV/f.u.

```
MgSc3Hg
1.0
5.3299 0.0000 0.0000
0.0000 5.3299 0.0000
0.0000 0.0000 5.3299
Sc Mg Hg
3 1 1
direct
0.0000 0.5000 0.0000
0.0000 0.0000 0.5000
0.5000 0.0000 0.0000
0.5000 0.5000 0.5000
0.0000 0.0000 0.0000
```

---

Most stable structure: version A

---

Version A
Mg2ScHg2 | PBE | relaxed

Results
Fermi-level density of states	3.1	states/eV/f.u.

```
Mg2ScHg2
1.0
8.0149 0.0000 0.0000
0.0000 8.0149 0.0000
0.0000 0.0000 3.4652
Sc Mg Hg
2 4 4
direct
0.0000 0.0000 0.0000
0.5000 0.5000 0.0000
0.1604 0.6604 0.5000
0.6604 0.8396 0.5000
0.8396 0.3396 0.5000
0.3396 0.1604 0.5000
0.3587 0.8587 0.0000
0.8587 0.6413 0.0000
0.6413 0.1413 0.0000
0.1413 0.3587 0.0000
```

---

Version B
Mg2ScHg2 | PBE | relaxed

Results
Fermi-level density of states	2.8	states/eV/f.u.

```
Mg2ScHg2
1.0
-0.9493 -0.1033 -4.0349
-3.8947 -1.0647 0.9436
-4.1040 5.7752 -1.3128
Sc Mg Hg
1 2 2
direct
0.0000 0.0000 0.0000
0.7500 0.2500 0.5000
0.2500 0.7500 0.5000
0.3947 0.3947 0.2106
0.6053 0.6053 0.7894
```

---

Most stable structure: version A

---

Version A
MgSc3Hg2 | PBE | relaxed

Results
Fermi-level density of states	6.3	states/eV/f.u.

```
MgSc3Hg2
1.0
-2.4076 -2.0486 1.6450
0.0969 -2.2989 -2.7211
7.7032 -5.2627 4.7203
Mg Sc Hg
1 3 2
direct
0.5000 0.5000 0.5000
0.0000 0.0000 0.0000
0.0000 0.0000 0.6703
0.0000 0.0000 0.3297
0.5000 0.5000 0.8274
0.5000 0.5000 0.1726
```

---

Version B
MgSc3Hg2 | PBE | relaxed

Results
Fermi-level density of states	5.9	states/eV/f.u.

```
MgSc3Hg2
1.0
-1.7363 4.4675 1.3498
-0.4619 -1.5297 -4.7161
-10.8772 -5.0437 2.7014
Mg Sc Hg
2 6 4
direct
0.3333 0.6667 0.6710
0.6667 0.3333 0.3290
0.3333 0.6667 0.4213
0.6667 0.3333 0.0776
0.0000 0.0000 0.7559
0.0000 0.0000 0.2441
0.3333 0.6667 0.9224
0.6667 0.3333 0.5787
0.0000 0.0000 0.5000
0.3333 0.6667 0.1844
0.6667 0.3333 0.8156
0.0000 0.0000 0.0000
```

---

Most stable structure: version B

---

Version A
MgSc4Hg | PBE | relaxed

Results
Fermi-level density of states	7.7	states/eV/f.u.

```
MgSc4Hg
1.0
-1.3159 3.7453 2.6576
-4.5333 1.5235 -0.0980
-3.7642 -3.2533 7.0145
Mg Sc Hg
1 4 1
direct
0.5000 0.5000 0.5000
0.6268 0.6265 0.1199
0.3732 0.3735 0.8801
0.1198 0.1189 0.6416
0.8802 0.8811 0.3584
0.0000 0.0000 0.0000
```

---

Version B
MgSc4Hg | PBE | relaxed

Results
Fermi-level density of states	6.1	states/eV/f.u.

```
MgSc4Hg
1.0
0.5030 -1.4576 5.6791
2.0108 3.9393 3.8818
-3.6528 2.3439 3.9740
Mg Sc Hg
1 4 1
direct
0.0000 0.0000 0.0000
0.8754 0.3749 0.3749
0.3749 0.3749 0.8754
0.3749 0.8754 0.3749
0.3749 0.3749 0.3749
0.7500 0.7500 0.7500
```

---

Most stable structure: version B